Density functional theory data (GGA-PBE) for crystalline LiAs2Pb at its relaxed geometry.

a = 3.2468 Å, b = 3.2468 Å, c = 28.1583 Å
α = 90.00°, β = 90.00°, γ = 120.00°
With the nearest neighbours (Å) after each atom.
Space group R-3m (No. 166, hexagonal axes)
Unique sites:
Li 0.0000 0.0000 0.0000 x3  6 As 2.74
As 0.0000 0.0000 0.2625 x6  3 Li 2.74
Pb 0.0000 0.0000 0.5000 x3  6 Pb 3.25, 6 As 3.29

Output
DFT total energy in Ry per atom: -0.270
Calculated formation energy in meV per atom: 54
Total magnetic moment in μB per formula unit: 0.00